DFT (PBE) results for a geometry-optimized K2RbPbCl5 structure.

Cell: 5.541 7.765 9.083 Å, 115.30 107.76 90.00°
Sites, in units of the cell vectors:
1 K 0.207 0.207 0.414
2 K 0.793 0.793 0.586
3 Rb 0.000 0.500 0.000
4 Pb 0.500 0.000 0.000
5 Cl 0.637 0.885 0.274
6 Cl 0.363 0.115 0.726
7 Cl 0.363 0.611 0.726
8 Cl 0.637 0.389 0.274
9 Cl 0.000 0.000 0.000

Summary:
As for the final energy: -3.4346 eV/atom. The calculation puts the calculated volume at 36.952 A^3/atom.